NaPbN3 (PBE, optimized geometry); total moment = 0.81 μB per atom
1.0
4.4329 0.0000 0.0000
0.0000 4.4329 0.0000
0.0000 0.0000 4.4329
Na Pb N
1 1 3
Cartesian
0.0000 0.0000 0.0000
2.2165 2.2165 2.2165
0.0000 2.2165 2.2165
2.2165 0.0000 2.2165
2.2165 2.2165 0.0000



NaPb3N (PBE, optimized geometry); E above lowest polymorph = 1.196 eV/atom; total moment = 0.00 μB per atom
1.0
5.4213 0.0000 0.0000
0.0000 5.4213 0.0000
0.0000 0.0000 5.4213
Na Pb N
1 3 1
Cartesian
0.0000 0.0000 0.0000
0.0000 0.0000 2.7106
0.0000 2.7106 0.0000
2.7106 0.0000 0.0000
2.7106 2.7106 2.7106



NaPbN (PBE, optimized geometry); total moment = 0.00 μB per atom
1.0
11.5139 0.0000 0.0000
0.0000 3.4869 0.0000
0.0000 0.0000 6.2710
Na Pb N
4 4 4
Cartesian
1.2149 0.8717 0.0245
4.5421 2.6152 3.1601
6.9719 0.8717 3.1110
10.2990 2.6152 6.2465
1.4260 0.8717 3.0205
4.3309 2.6152 6.1561
7.1830 0.8717 0.1150
10.0879 2.6152 3.2505
0.4404 2.6152 1.8066
5.3166 0.8717 4.9421
6.1973 2.6152 1.3289
11.0735 0.8717 4.4645



Formation energy without anion corrections? In order: 1.77; 1.63; 0.24 eV per atom.